# PBE YScTl, optimized geometry
# Size of the total moment = 1.102 μB/cell
data_YScTl
_chemical_formula_sum 'Y4 Sc4 Tl4'
_cell_length_a 7.1307
_cell_length_b 7.1307
_cell_length_c 7.1307
_cell_angle_alpha 90.00
_cell_angle_beta 90.00
_cell_angle_gamma 90.00
_space_group_name_H-M_alt 'F -4 3 m'
_space_group_IT_number 216
_space_group_name_Hall 'F -4 2 3'
loop_
_atom_site_label
_atom_site_type_symbol
_atom_site_fract_x
_atom_site_fract_y
_atom_site_fract_z
_atom_site_occupancy
Y1 Y 0.0000 0.0000 0.0000 1
Sc1 Sc 0.0000 0.0000 0.5000 1
Tl1 Tl 0.2500 0.2500 0.7500 1

=====

# PBE YSc3Tl, optimized geometry
# Size of the total moment = 0.000 μB/cell
data_YSc3Tl
_chemical_formula_sum 'Y2 Sc6 Tl2'
_cell_length_a 5.1160
_cell_length_b 7.7471
_cell_length_c 6.6356
_cell_angle_alpha 90.00
_cell_angle_beta 90.00
_cell_angle_gamma 90.00
_space_group_name_H-M_alt 'P m m n'
_space_group_IT_number 59
loop_
_space_group_symop_operation_xyz
'x,y,z'
'-x,-y,-z'
'-x+1/2,-y+1/2,z'
'x+1/2,y+1/2,-z'
'x+1/2,-y,-z'
'-x+1/2,y,z'
'-x,y+1/2,-z'
'x,-y+1/2,z'
loop_
_atom_site_label
_atom_site_type_symbol
_atom_site_fract_x
_atom_site_fract_y
_atom_site_fract_z
_atom_site_occupancy
Y1 Y 0.2500 0.2500 0.2070 1
Sc1 Sc 0.2500 0.0591 0.7382 1
Sc2 Sc 0.2500 0.7500 0.0633 1
Tl1 Tl 0.2500 0.7500 0.4821 1

=====

# PBE Y2ScTl, optimized geometry
# Size of the total moment = 0.516 μB/cell
data_Y2ScTl
_chemical_formula_sum 'Y2 Sc1 Tl1'
_cell_length_a 3.5829
_cell_length_b 4.6674
_cell_length_c 6.6529
_cell_angle_alpha 90.00
_cell_angle_beta 90.00
_cell_angle_gamma 90.00
_space_group_name_H-M_alt 'P m m 2'
_space_group_IT_number 25
loop_
_space_group_symop_operation_xyz
'x,y,z'
'-x,-y,z'
'-x,y,z'
'x,-y,z'
loop_
_atom_site_label
_atom_site_type_symbol
_atom_site_fract_x
_atom_site_fract_y
_atom_site_fract_z
_atom_site_occupancy
Y1 Y 0.0000 0.0000 0.0000 1
Y2 Y 0.5000 0.5000 0.2709 1
Sc1 Sc 0.0000 0.0000 0.5083 1
Tl1 Tl 0.5000 0.5000 0.7534 1

=====

# PBE Y3ScTl, optimized geometry
# Size of the total moment = 0.000 μB/cell
data_Y3ScTl
_chemical_formula_sum 'Y6 Sc2 Tl2'
_cell_length_a 6.5616
_cell_length_b 5.3642
_cell_length_c 8.4717
_cell_angle_alpha 90.00
_cell_angle_beta 104.92
_cell_angle_gamma 90.00
_space_group_name_H-M_alt 'P 1 21/m 1'
_space_group_IT_number 11
loop_
_space_group_symop_operation_xyz
'x,y,z'
'-x,-y,-z'
'-x,y+1/2,-z'
'x,-y+1/2,z'
loop_
_atom_site_label
_atom_site_type_symbol
_atom_site_fract_x
_atom_site_fract_y
_atom_site_fract_z
_atom_site_occupancy
Y1 Y 0.0418 0.2500 0.3446 1
Y2 Y 0.3800 0.7500 0.4181 1
Y3 Y 0.4471 0.2500 0.1411 1
Sc1 Sc 0.0971 0.7500 0.0606 1
Tl1 Tl 0.2380 0.2500 0.7469 1

=====

# PBE Y7ScTl4, optimized geometry
# Size of the total moment = 0.725 μB/cell
data_Y7ScTl4
_chemical_formula_sum 'Y14 Sc2 Tl8'
_cell_length_a 15.0117
_cell_length_b 5.6914
_cell_length_c 9.8127
_cell_angle_alpha 90.00
_cell_angle_beta 121.91
_cell_angle_gamma 90.00
_space_group_name_H-M_alt 'C 1 2/m 1'
_space_group_IT_number 12
loop_
_space_group_symop_operation_xyz
'x,y,z'
'-x,-y,-z'
'-x,y,-z'
'x,-y,z'
'x+1/2,y+1/2,z'
'-x+1/2,-y+1/2,-z'
'-x+1/2,y+1/2,-z'
'x+1/2,-y+1/2,z'
loop_
_atom_site_label
_atom_site_type_symbol
_atom_site_fract_x
_atom_site_fract_y
_atom_site_fract_z
_atom_site_occupancy
Y1 Y 0.0000 0.0000 0.0000 1
Y2 Y 0.0686 0.5000 0.4056 1
Y3 Y 0.2035 0.5000 0.8799 1
Y4 Y 0.2472 0.0000 0.7026 1
Sc1 Sc 0.0000 0.5000 0.0000 1
Tl1 Tl 0.0513 0.0000 0.7127 1
Tl2 Tl 0.1832 0.0000 0.3399 1

=====

# PBE YSc3Tl, optimized geometry
# Size of the total moment = 0.000 μB/cell
data_YSc3Tl
_chemical_formula_sum 'Y1 Sc3 Tl1'
_cell_length_a 5.2949
_cell_length_b 5.2949
_cell_length_c 5.2949
_cell_angle_alpha 90.00
_cell_angle_beta 90.00
_cell_angle_gamma 90.00
_space_group_name_H-M_alt 'P m -3 m'
_space_group_IT_number 221
_space_group_name_Hall '-P 4 2 3'
loop_
_atom_site_label
_atom_site_type_symbol
_atom_site_fract_x
_atom_site_fract_y
_atom_site_fract_z
_atom_site_occupancy
Y1 Y 0.0000 0.0000 0.0000 1
Sc1 Sc 0.0000 0.0000 0.5000 1
Tl1 Tl 0.5000 0.5000 0.5000 1

=====

# PBE Y2ScTl3, optimized geometry
# Size of the total moment = 0.000 μB/cell
data_Y2ScTl3
_chemical_formula_sum 'Y2 Sc1 Tl3'
_cell_length_a 3.6983
_cell_length_b 3.6983
_cell_length_c 11.4349
_cell_angle_alpha 90.00
_cell_angle_beta 90.00
_cell_angle_gamma 90.00
_space_group_name_H-M_alt 'P 4/m m m'
_space_group_IT_number 123
_space_group_name_Hall '-P 4 2'
loop_
_atom_site_label
_atom_site_type_symbol
_atom_site_fract_x
_atom_site_fract_y
_atom_site_fract_z
_atom_site_occupancy
Y1 Y 0.0000 0.0000 0.1742 1
Sc1 Sc 0.0000 0.0000 0.5000 1
Tl1 Tl 0.5000 0.5000 0.0000 1
Tl2 Tl 0.5000 0.5000 0.3479 1

=====

# PBE Y2ScTl, optimized geometry
# Size of the total moment = 6.639 μB/cell
data_Y2ScTl
_chemical_formula_sum 'Y8 Sc4 Tl4'
_cell_length_a 7.5703
_cell_length_b 7.5703
_cell_length_c 7.5703
_cell_angle_alpha 90.00
_cell_angle_beta 90.00
_cell_angle_gamma 90.00
_space_group_name_H-M_alt 'F -4 3 m'
_space_group_IT_number 216
_space_group_name_Hall 'F -4 2 3'
loop_
_atom_site_label
_atom_site_type_symbol
_atom_site_fract_x
_atom_site_fract_y
_atom_site_fract_z
_atom_site_occupancy
Y1 Y 0.0000 0.0000 0.0000 1
Y2 Y 0.2500 0.2500 0.2500 1
Sc1 Sc 0.0000 0.0000 0.5000 1
Tl1 Tl 0.2500 0.2500 0.7500 1

=====

# PBE YScTl, optimized geometry
# Size of the total moment = 1.013 μB/cell
data_YScTl
_chemical_formula_sum 'Y1 Sc1 Tl1'
_cell_length_a 3.5007
_cell_length_b 3.5007
_cell_length_c 7.8002
_cell_angle_alpha 90.00
_cell_angle_beta 90.00
_cell_angle_gamma 120.00
_space_group_name_H-M_alt 'P 3 m 1'
_space_group_IT_number 156
loop_
_space_group_symop_operation_xyz
'x,y,z'
'-y,x-y,z'
'-x+y,-x,z'
'-y,-x,z'
'-x+y,y,z'
'x,x-y,z'
loop_
_atom_site_label
_atom_site_type_symbol
_atom_site_fract_x
_atom_site_fract_y
_atom_site_fract_z
_atom_site_occupancy
Y1 Y 0.0000 0.0000 0.0000 1
Sc1 Sc 0.6667 0.3333 0.3466 1
Tl1 Tl 0.3333 0.6667 0.6600 1

=====

# PBE YScTl, optimized geometry
# Size of the total moment = 0.029 μB/cell
data_YScTl
_chemical_formula_sum 'Y4 Sc4 Tl4'
_cell_length_a 5.1939
_cell_length_b 8.9814
_cell_length_c 6.6643
_cell_angle_alpha 90.00
_cell_angle_beta 90.00
_cell_angle_gamma 90.00
_space_group_name_H-M_alt 'C m c m'
_space_group_IT_number 63
_space_group_name_Hall '-C 2c 2'
loop_
_atom_site_label
_atom_site_type_symbol
_atom_site_fract_x
_atom_site_fract_y
_atom_site_fract_z
_atom_site_occupancy
Y1 Y 0.0000 0.0000 0.0000 1
Sc1 Sc 0.0000 0.3336 0.2500 1
Tl1 Tl 0.0000 0.3331 0.7500 1

=====

# PBE YScTl, optimized geometry
# Size of the total moment = 0.004 μB/cell
data_YScTl
_chemical_formula_sum 'Y2 Sc2 Tl2'
_cell_length_a 4.4557
_cell_length_b 4.4557
_cell_length_c 8.1879
_cell_angle_alpha 90.00
_cell_angle_beta 90.00
_cell_angle_gamma 90.00
_space_group_name_H-M_alt 'P 4/n m m'
_space_group_IT_number 129
loop_
_space_group_symop_operation_xyz
'x,y,z'
'-x,-y,-z'
'-y+1/2,x,z'
'y+1/2,-x,-z'
'-x+1/2,-y+1/2,z'
'x+1/2,y+1/2,-z'
'y,-x+1/2,z'
'-y,x+1/2,-z'
'x+1/2,-y,-z'
'-x+1/2,y,z'
'-y,-x,-z'
'y,x,z'
'-x,y+1/2,-z'
'x,-y+1/2,z'
'y+1/2,x+1/2,-z'
'-y+1/2,-x+1/2,z'
loop_
_atom_site_label
_atom_site_type_symbol
_atom_site_fract_x
_atom_site_fract_y
_atom_site_fract_z
_atom_site_occupancy
Y1 Y 0.2500 0.2500 0.1498 1
Sc1 Sc 0.2500 0.7500 0.5000 1
Tl1 Tl 0.2500 0.2500 0.7613 1

=====

# PBE ScTl2Zn, optimized geometry
# Size of the total moment = 0.000 μB/cell
data_ScTl2Zn
_chemical_formula_sum 'Sc4 Tl8 Zn4'
_cell_length_a 7.1737
_cell_length_b 7.1737
_cell_length_c 7.1737
_cell_angle_alpha 90.00
_cell_angle_beta 90.00
_cell_angle_gamma 90.00
_space_group_name_H-M_alt 'F m -3 m'
_space_group_IT_number 225
_space_group_name_Hall '-F 4 2 3'
loop_
_atom_site_label
_atom_site_type_symbol
_atom_site_fract_x
_atom_site_fract_y
_atom_site_fract_z
_atom_site_occupancy
Sc1 Sc 0.0000 0.0000 0.0000 1
Tl1 Tl 0.2500 0.2500 0.2500 1
Zn1 Zn 0.0000 0.0000 0.5000 1

=====

# PBE Sc4TlZn2, optimized geometry
# Size of the total moment = 0.026 μB/cell
data_Sc4TlZn2
_chemical_formula_sum 'Sc12 Tl3 Zn6'
_cell_length_a 4.7876
_cell_length_b 4.7876
_cell_length_c 23.0833
_cell_angle_alpha 90.00
_cell_angle_beta 90.00
_cell_angle_gamma 120.00
_space_group_name_H-M_alt 'R -3 m'
_space_group_IT_number 166
_space_group_name_Hall '-R 3 2"'
loop_
_atom_site_label
_atom_site_type_symbol
_atom_site_fract_x
_atom_site_fract_y
_atom_site_fract_z
_atom_site_occupancy
Sc1 Sc 0.0000 0.0000 0.1105 1
Sc2 Sc 0.0000 0.0000 0.3666 1
Tl1 Tl 0.0000 0.0000 0.5000 1
Zn1 Zn 0.0000 0.0000 0.2477 1

=====

# PBE Sc5Tl6Zn, optimized geometry
# Size of the total moment = 0.689 μB/cell
data_Sc5Tl6Zn
_chemical_formula_sum 'Sc10 Tl12 Zn2'
_cell_length_a 4.6191
_cell_length_b 8.5784
_cell_length_c 14.1044
_cell_angle_alpha 90.00
_cell_angle_beta 90.00
_cell_angle_gamma 90.00
_space_group_name_H-M_alt 'I m m m'
_space_group_IT_number 71
_space_group_name_Hall '-I 2 2'
loop_
_atom_site_label
_atom_site_type_symbol
_atom_site_fract_x
_atom_site_fract_y
_atom_site_fract_z
_atom_site_occupancy
Sc1 Sc 0.0000 0.0000 0.0000 1
Sc2 Sc 0.0000 0.0000 0.3598 1
Sc3 Sc 0.0000 0.5000 0.3246 1
Tl1 Tl 0.0000 0.2443 0.1697 1
Tl2 Tl 0.0000 0.2646 0.5000 1
Zn1 Zn 0.0000 0.5000 0.0000 1

=====

# PBE ScTl2Zn, optimized geometry
# Size of the total moment = 0.221 μB/cell
data_ScTl2Zn
_chemical_formula_sum 'Sc1 Tl2 Zn1'
_cell_length_a 3.5485
_cell_length_b 3.5485
_cell_length_c 7.6215
_cell_angle_alpha 90.00
_cell_angle_beta 90.00
_cell_angle_gamma 90.00
_space_group_name_H-M_alt 'P 4 m m'
_space_group_IT_number 99
loop_
_space_group_symop_operation_xyz
'x,y,z'
'-y,x,z'
'-x,-y,z'
'y,-x,z'
'-x,y,z'
'y,x,z'
'x,-y,z'
'-y,-x,z'
loop_
_atom_site_label
_atom_site_type_symbol
_atom_site_fract_x
_atom_site_fract_y
_atom_site_fract_z
_atom_site_occupancy
Sc1 Sc 0.0000 0.0000 0.0000 1
Tl1 Tl 0.0000 0.0000 0.5641 1
Tl2 Tl 0.5000 0.5000 0.2584 1
Zn1 Zn 0.5000 0.5000 0.8114 1

=====

# PBE Sc3Tl2Zn, optimized geometry
# Size of the total moment = 0.001 μB/cell
data_Sc3Tl2Zn
_chemical_formula_sum 'Sc12 Tl8 Zn4'
_cell_length_a 8.6558
_cell_length_b 14.9040
_cell_length_c 4.9746
_cell_angle_alpha 90.00
_cell_angle_beta 125.03
_cell_angle_gamma 90.00
_space_group_name_H-M_alt 'C 1 2/c 1'
_space_group_IT_number 15
loop_
_space_group_symop_operation_xyz
'x,y,z'
'-x,-y,-z'
'-x,y,-z+1/2'
'x,-y,z+1/2'
'x+1/2,y+1/2,z'
'-x+1/2,-y+1/2,-z'
'-x+1/2,y+1/2,-z+1/2'
'x+1/2,-y+1/2,z+1/2'
loop_
_atom_site_label
_atom_site_type_symbol
_atom_site_fract_x
_atom_site_fract_y
_atom_site_fract_z
_atom_site_occupancy
Sc1 Sc 0.2310 0.0785 0.4810 1
Sc2 Sc 0.2500 0.2500 0.0000 1
Tl1 Tl 0.0000 0.2512 0.2500 1
Tl2 Tl 0.0000 0.4179 0.7500 1
Zn1 Zn 0.0000 0.0835 0.7500 1

=====

# PBE Sc2TlZn3, optimized geometry
# Size of the total moment = 3.670 μB/cell
data_Sc2TlZn3
_chemical_formula_sum 'Sc16 Tl8 Zn24'
_cell_length_a 6.5177
_cell_length_b 9.0326
_cell_length_c 15.6272
_cell_angle_alpha 90.00
_cell_angle_beta 90.00
_cell_angle_gamma 90.00
_space_group_name_H-M_alt 'F m m m'
_space_group_IT_number 69
_space_group_name_Hall '-F 2 2'
loop_
_atom_site_label
_atom_site_type_symbol
_atom_site_fract_x
_atom_site_fract_y
_atom_site_fract_z
_atom_site_occupancy
Sc1 Sc 0.2452 0.0000 0.0000 1
Sc2 Sc 0.2500 0.2500 0.2500 1
Tl1 Tl 0.0000 0.0000 0.3341 1
Zn1 Zn 0.0000 0.0000 0.1602 1
Zn2 Zn 0.0000 0.2407 0.0798 1

=====

# PBE ScTl2Zn, optimized geometry
# Size of the total moment = 0.000 μB/cell
data_ScTl2Zn
_chemical_formula_sum 'Sc2 Tl4 Zn2'
_cell_length_a 3.7270
_cell_length_b 5.7545
_cell_length_c 9.0246
_cell_angle_alpha 90.00
_cell_angle_beta 90.00
_cell_angle_gamma 90.00
_space_group_name_H-M_alt 'C m m m'
_space_group_IT_number 65
_space_group_name_Hall '-C 2 2'
loop_
_atom_site_label
_atom_site_type_symbol
_atom_site_fract_x
_atom_site_fract_y
_atom_site_fract_z
_atom_site_occupancy
Sc1 Sc 0.0000 0.0000 0.0000 1
Tl1 Tl 0.0000 0.5000 0.2637 1
Zn1 Zn 0.0000 0.0000 0.5000 1

=====

# PBE ScTl2Zn, optimized geometry
# Size of the total moment = 0.557 μB/cell
data_ScTl2Zn
_chemical_formula_sum 'Sc1 Tl2 Zn1'
_cell_length_a 3.6134
_cell_length_b 3.6245
_cell_length_c 7.0044
_cell_angle_alpha 90.00
_cell_angle_beta 90.00
_cell_angle_gamma 90.00
_space_group_name_H-M_alt 'P m m m'
_space_group_IT_number 47
loop_
_space_group_symop_operation_xyz
'x,y,z'
'-x,-y,-z'
'-x,-y,z'
'x,y,-z'
'x,-y,-z'
'-x,y,z'
'-x,y,-z'
'x,-y,z'
loop_
_atom_site_label
_atom_site_type_symbol
_atom_site_fract_x
_atom_site_fract_y
_atom_site_fract_z
_atom_site_occupancy
Sc1 Sc 0.0000 0.0000 0.0000 1
Tl1 Tl 0.5000 0.5000 0.2647 1
Zn1 Zn 0.0000 0.0000 0.5000 1

=====

# PBE ScTl2Zn, optimized geometry
# Size of the total moment = 0.000 μB/cell
data_ScTl2Zn
_chemical_formula_sum 'Sc2 Tl4 Zn2'
_cell_length_a 4.4241
_cell_length_b 4.4241
_cell_length_c 9.3152
_cell_angle_alpha 90.00
_cell_angle_beta 90.00
_cell_angle_gamma 90.00
_space_group_name_H-M_alt 'I 4/m m m'
_space_group_IT_number 139
_space_group_name_Hall '-I 4 2'
loop_
_atom_site_label
_atom_site_type_symbol
_atom_site_fract_x
_atom_site_fract_y
_atom_site_fract_z
_atom_site_occupancy
Sc1 Sc 0.0000 0.0000 0.0000 1
Tl1 Tl 0.0000 0.5000 0.2500 1
Zn1 Zn 0.0000 0.0000 0.5000 1

=====

Record order is preserved below.
Formation energy from the elements: -3, -7, -11, -14, -5, 87, -32, -1, -11, -28, -28, 4, -15, -19, -5, -28, -27, 7, 1, -2 kJ per mole of atoms